No. 1
DFT (PBE) results for a geometry-optimized SmBOs2C structure.

The raw total energy is -8.8373 eV per atom. Its calculated formation energy is -0.221 eV per atom. The symmetry is No. 63.

Cell: 3.743 5.690 6.996 Å, 90.00 90.00 109.20°
Positions (direct):
Os 0.826 0.652 0.063
Os 0.174 0.348 0.563
Os 0.826 0.652 0.437
Os 0.174 0.348 0.937
C 0.000 0.000 0.500
C 0.000 0.000 0.000
Sm 0.547 0.094 0.250
Sm 0.453 0.906 0.750
B 0.272 0.545 0.250
B 0.728 0.455 0.750



No. 2
DFT (PBE) results for a geometry-optimized LiTaCo2 structure.

The raw total energy is -6.9137 eV per atom. Its calculated formation energy is 0.081 eV per atom. The symmetry is No. 44.

Cell: 4.702 4.702 4.702 Å, 138.22 133.39 64.36°
Last column: magnetic moment on the atom in μB.
Positions (direct):
Co 0.751 0.251 0.500  0.25
Co 0.000 0.000 0.000  0.49
Li 0.504 0.504 0.000  -0.01
Ta 0.246 0.746 0.500  -0.12



No. 3
DFT (PBE) results for a geometry-optimized DyYMnTl structure.

The raw total energy is -5.6785 eV per atom. Its calculated formation energy is -0.028 eV per atom. The symmetry is No. 216.

Cell: 5.225 5.225 5.225 Å, 60.00 60.00 60.00°
Last column: magnetic moment on the atom in μB.
Positions (direct):
Tl 0.500 0.500 0.500  0.00
Dy 0.750 0.750 0.750  -0.22
Mn 0.000 0.000 0.000  3.70
Y 0.250 0.250 0.250  -0.19